No. 1
# CdPt17

Crystalline CdPt17 at its relaxed geometry (PBE, the Open Quantum Materials Database).

Summary:
ΔH_f (0 K): 0.06 eV/atom
Energy relative to the lowest polymorph listed for this composition: 2.7 meV per atom

Lattice parameters (Å, degrees): 4.8109 5.5588 34.1675 90.00 90.18 90.00
Closest atoms and distances in Å follow each position.
Space group P2_1/m (No. 11)
One atom of each set of equivalent atoms:
Cd: 0.1657 0.2500 0.2875 x2  6 Pt 2.83-2.85
Pt: 0.0000 0.0000 0.0000 x2  12 Pt 2.78-2.83
Pt: 0.9998 0.0031 0.2046 x4  11 Pt 2.75-2.87
Pt: 0.1660 0.2500 0.8646 x2  12 Pt 2.78-2.87
Pt: 0.1659 0.7500 0.8636 x2  12 Pt 2.77-2.88
Pt: 0.1672 0.2500 0.0683 x2  12 Pt 2.78-2.83
Pt: 0.1683 0.7500 0.0680 x2  12 Pt 2.77-2.84
Pt: 0.1699 0.7500 0.2718 x2  7 Pt 2.75-2.84, 2 Cd 2.83
Pt: 0.3327 0.9997 0.9320 x4  12 Pt 2.77-2.84
Pt: 0.3339 0.0010 0.1364 x4  12 Pt 2.77-2.85
Pt: 0.3338 0.0059 0.7286 x4  7 Pt 2.71-2.85, 2 Cd 2.85
Pt: 0.4940 0.2500 0.2058 x2  11 Pt 2.75-2.88
Pt: 0.4999 0.2500 0.0002 x2  12 Pt 2.78-2.83
Pt: 0.4997 0.2500 0.7968 x2  12 Pt 2.78-2.84

=====

No. 2
# Ta4SiPC2

Crystalline Ta4SiPC2 at its relaxed geometry (PBE, the Open Quantum Materials Database).

Summary:
E_tot: -81.8 eV/cell

Lattice parameters (Å, degrees): 3.2729 3.2729 11.8654 90.00 90.00 120.00
Closest atoms and distances in Å follow each position.
Space group P-6m2 (No. 187)
One atom of each set of equivalent atoms:
Ta: 0.0000 0.0000 0.1466 x2  3 C 2.23
Ta: 0.3333 0.6667 0.3437 x2  3 C 2.21
Si: 0.0000 0.0000 0.5000 x1  6 Ta 2.65
P: 0.3333 0.6667 0.0000 x1  6 Ta 2.57
C: 0.6667 0.3333 0.2463 x2  6 Ta 2.21-2.23

=====

No. 3
# Sm4BrNCl4

Crystalline Sm4BrNCl4 at its relaxed geometry (PBE, the Open Quantum Materials Database).

Summary:
E_tot: -109.1 eV/cell

Lattice parameters (Å, degrees): 17.2495 3.7657 8.2115 90.00 104.94 90.00
Closest atoms and distances in Å follow each position.
Space group C2/m (No. 12)
One atom of each set of equivalent atoms:
Sm: 0.0008 0.0000 0.2980 x4  2 N 2.51, 1 Cl 2.79
Sm: 0.1442 0.5000 0.5815 x4  1 N 2.40
Br: 0.0000 0.5000 0.0000 x2  4 Sm 3.08
N: 0.0000 0.5000 0.5000 x2  6 Sm 2.40-2.51
Cl: 0.1652 0.0000 0.8379 x4  3 Sm 2.78-2.79
Cl: 0.1711 0.0000 0.3439 x4  4 Sm 2.83-3.08

=====

No. 4
# TcI2Cl2

Crystalline TcI2Cl2 at its relaxed geometry (PBE, the Open Quantum Materials Database).

Summary:
E_tot: -75.7 eV/cell

Lattice parameters (Å, degrees): 7.4101 8.4261 9.8320 90.00 90.00 90.00
Closest atoms and distances in Å follow each position.
Space group Immm (No. 71)
One atom of each set of equivalent atoms:
Tc: 0.2108 0.0000 0.0000 x4  2 Cl 2.33
I: 0.0000 0.0000 0.2214 x4  2 Tc 2.68
I: 0.0000 0.5000 0.3175 x4  2 Tc 2.80
Cl: 0.2274 0.2764 0.0000 x8  1 Tc 2.33

=====

No. 5
# PrY2Cd3AgAu2

Crystalline PrY2Cd3AgAu2 at its relaxed geometry (PBE, the Open Quantum Materials Database).

Summary:
ΔH_f (0 K): -0.58 eV/atom

Lattice parameters (Å, degrees): 3.8916 13.7585 7.8925 90.00 90.00 90.00
Closest atoms and distances in Å follow each position.
Space group Amm2 (No. 38)
One atom of each set of equivalent atoms:
Pr: 0.0000 0.0000 0.0000 x2  4 Au 3.13, 1 Ag 3.23, 6 Cd 3.29-3.45
Y: 0.0000 0.2038 0.3891 x4  4 Au 3.06-3.07, 1 Ag 3.23, 4 Cd 3.26-3.42
Cd: 0.5000 0.0000 0.3355 x2  2 Ag 2.80, 2 Au 3.01
Cd: 0.5000 0.1320 0.7220 x4  2 Ag 2.85, 2 Au 2.90-2.99
Ag: 0.0000 0.0000 0.5911 x2  6 Cd 2.80-2.85
Au: 0.5000 0.1699 0.0953 x4  3 Cd 2.90-3.01, 4 Y 3.06-3.07, 2 Pr 3.13

=====

No. 6
# SmZrAu4

Crystalline SmZrAu4 at its relaxed geometry (PBE, the Open Quantum Materials Database).

Summary:
ΔH_f (0 K): -0.68 eV/atom

Lattice parameters (Å, degrees): 3.6942 3.6942 9.0492 90.00 90.00 90.00
Closest atoms and distances in Å follow each position.
Space group P4/mmm (No. 123)
One atom of each set of equivalent atoms:
Sm: 0.0000 0.0000 0.0000 x1  10 Au 3.06-3.09
Zr: 0.5000 0.5000 0.5000 x1  10 Au 2.93-2.98
Au: 0.0000 0.0000 0.3420 x2  5 Au 2.86-3.01, 4 Zr 2.98, 1 Sm 3.09
Au: 0.5000 0.5000 0.1766 x2  1 Zr 2.93, 5 Au 3.01-3.20, 4 Sm 3.06

=====

No. 7
# PrGdZn6Si3

Crystalline PrGdZn6Si3 at its relaxed geometry (PBE, the Open Quantum Materials Database).

Summary:
E_tot: -37.6 eV/cell

Lattice parameters (Å, degrees): 7.5294 7.5294 4.0444 90.00 90.00 120.00
Closest atoms and distances in Å follow each position.
Space group P-6 (No. 174)
One atom of each set of equivalent atoms:
Pr: 0.0000 0.0000 0.0000 x1  6 Si 3.14, 9 Zn 3.21-3.33
Gd: 0.6667 0.3333 0.0000 x1  6 Si 3.08, 9 Zn 3.15-3.36
Zn: 0.0390 0.6695 0.5000 x3  3 Si 2.46-2.60
Zn: 0.1376 0.4783 0.0000 x3  2 Si 2.46, 2 Zn 2.51
Si: 0.3390 0.0469 0.5000 x3  5 Zn 2.46-2.60

=====

No. 8
# NaSrGa4Pd2

Crystalline NaSrGa4Pd2 at its relaxed geometry (PBE, the Open Quantum Materials Database).

Summary:
E_tot: -58.8 eV/cell

Lattice parameters (Å, degrees): 7.2399 4.3427 10.4491 90.00 90.00 90.00
Closest atoms and distances in Å follow each position.
Space group Amm2 (No. 38)
One atom of each set of equivalent atoms:
Na: 0.0000 0.0000 0.0000 x2  3 Pd 2.90-3.18, 6 Ga 3.18-3.21
Sr: 0.5000 0.0000 0.1279 x2  3 Pd 2.93-3.16
Ga: 0.1863 0.0000 0.7210 x4  3 Pd 2.62-2.63, 1 Ga 2.70
Ga: 0.2971 0.0000 0.4146 x4  3 Pd 2.58-2.71
Pd: 0.0000 0.0000 0.2780 x2  6 Ga 2.58-2.62
Pd: 0.5000 0.0000 0.8471 x2  6 Ga 2.63-2.71, 1 Sr 2.93

=====

No. 9
# NaLaFeS3

Crystalline NaLaFeS3 at its relaxed geometry (PBE, the Open Quantum Materials Database).

Summary:
Energy relative to the lowest polymorph listed for this composition: 44.6 meV per atom

Lattice parameters (Å, degrees): 4.0780 12.4171 11.2278 90.00 90.00 90.00
Closest atoms and distances in Å follow each position.
Space group Cmcm (No. 63)
One atom of each set of equivalent atoms:
Na: 0.0000 0.2470 0.2500 x4  6 S 3.04
La: 0.0000 0.0000 0.0000 x4  6 S 2.85-2.94
Fe: 0.0000 0.4728 0.7500 x4  4 S 2.28-2.38
S: 0.0000 0.0712 0.7500 x4  2 Fe 2.38
S: 0.0000 0.3610 0.5890 x8  1 Fe 2.28

=====

No. 10
# HfZn2Pt

Crystalline HfZn2Pt at its relaxed geometry (PBE, the Open Quantum Materials Database).

Summary:
ΔH_f (0 K): -0.57 eV/atom

Lattice parameters (Å, degrees): 6.3651 6.3651 6.3651 90.00 90.00 90.00
Closest atoms and distances in Å follow each position.
Space group F-43m (No. 216)
One atom of each set of equivalent atoms:
Hf: 0.0000 0.0000 0.0000 x4  4 Pt 2.76, 4 Zn 2.76
Zn: 0.0000 0.0000 0.5000 x4  4 Pt 2.76, 4 Zn 2.76
Zn: 0.2500 0.2500 0.2500 x4  4 Hf 2.76, 4 Zn 2.76
Pt: 0.2500 0.2500 0.7500 x4  4 Hf 2.76, 4 Zn 2.76

=====

No. 11
# Sm3Zn3Ir2Pt

Crystalline Sm3Zn3Ir2Pt at its relaxed geometry (PBE, the Open Quantum Materials Database).

Summary:
ΔH_f (0 K): -0.74 eV/atom

Lattice parameters (Å, degrees): 7.2716 7.2716 3.9659 90.00 90.00 120.00
Closest atoms and distances in Å follow each position.
Space group P-62m (No. 189)
One atom of each set of equivalent atoms:
Sm: 0.0000 0.4105 0.0000 x3  4 Ir 2.96, 1 Pt 2.99, 6 Zn 3.17-3.27
Zn: 0.0000 0.7512 0.5000 x3  2 Pt 2.68, 2 Ir 2.78
Ir: 0.3333 0.6667 0.5000 x2  3 Zn 2.78, 6 Sm 2.96
Pt: 0.0000 0.0000 0.0000 x1  6 Zn 2.68, 3 Sm 2.99

=====

No. 12
# CsZr2

Crystalline CsZr2 at its relaxed geometry (PBE, the Open Quantum Materials Database).

Summary:
E_tot: -113.8 eV/cell

Lattice parameters (Å, degrees): 9.1696 9.1696 9.1696 90.00 90.00 90.00
Closest atoms and distances in Å follow each position.
Space group Fd-3m (No. 227, origin choice 2)
One atom of each set of equivalent atoms:
Cs: 0.1250 0.1250 0.1250 x8  12 Zr 3.80, 4 Cs 3.97
Zr: 0.0000 0.0000 0.5000 x16  6 Zr 3.24

=====

What is the formula in the first record? CdPt17